The following is a PBE-GGA calculation of a relaxed structure of Sm2HoSnC, from Alexandria via LeMat-Bulk.

Cell: 5.029 5.029 4.875 Å, 90.00 90.00 90.00°
Space group P4/mmm (No. 123)
Inequivalent atoms, fractional coordinates:
Sm  0.000  0.500  0.000 x2
Ho  0.000  0.000  0.500 x1
Sn  0.500  0.500  0.500 x1
C  0.000  0.000  0.000 x1

final energy = -6.0121 eV/atom